This record from Alexandria via LeMat-Bulk describes an optimized crystal structure of Na2BSbIr. The functional is PBE-GGA.

Output
VASP energy	-3.35	eV per atom
density	6.2	Mg/m³
total magnetization	0.2340	μB per atom
uncorrected formation energy	1110.3	meV/atom

The structure in POSCAR format:
```
Na2BSbIr
1.0
4.677 0.000 0.000
0.000 4.505 0.000
0.000 0.000 4.677
Sb Na Ir B
1 2 1 1
Direct
0.000 0.500 0.000 Sb
0.000 0.000 0.500 Na
0.500 0.000 0.000 Na
0.500 0.500 0.500 Ir
0.000 0.000 0.000 B
```

=====

This record from Alexandria via LeMat-Bulk describes an optimized crystal structure of LaTb2Zr. The functional is PBE-GGA.

Output
relative energy among the computed polymorphs	9.4	kJ/mol of atoms
VASP energy	-5.51	eV per atom
density	7.4	Mg/m³
total magnetization	0.0001	μB per atom
formation energy from the elements	0.174	eV/atom

The structure in POSCAR format:
```
LaTb2Zr
1.0
-2.726 -2.793 -1.015
2.905 -2.795 -0.112
-1.171 -1.508 7.300
Zr Tb La
1 2 1
Direct
0.500 0.500 0.000 Zr
0.000 0.000 0.214 Tb
0.000 0.000 0.786 Tb
0.500 0.500 0.500 La
```

=====

This record from Alexandria via LeMat-Bulk describes an optimized crystal structure of BaAlAu. The functional is PBE-GGA.

Output
VASP energy	-3.54	eV per atom
density	6.9	Mg/m³
total magnetization	0.0000	μB per atom
formation energy from the elements	-0.560	eV/atom

The structure in POSCAR format:
```
BaAlAu
1.0
-3.297 2.923 5.385
-7.022 -1.717 -3.368
-2.162 -6.038 1.953
Ba Al Au
4 4 4
Direct
0.141 0.112 0.689 Ba
0.359 0.612 0.189 Ba
0.641 0.388 0.811 Ba
0.859 0.888 0.311 Ba
0.870 0.434 0.291 Al
0.370 0.066 0.209 Al
0.630 0.934 0.791 Al
0.130 0.566 0.709 Al
0.393 0.803 0.579 Au
0.607 0.197 0.421 Au
0.893 0.697 0.921 Au
0.107 0.303 0.079 Au
```

=====

This record from Alexandria via LeMat-Bulk describes an optimized crystal structure of PmSnRuO6. The functional is PBE-GGA.

Output
VASP energy	-7.04	eV per atom
density	6.3	Mg/m³
total magnetization	0.3336	μB per atom
uncorrected formation energy	-1731.4	meV/atom

The structure in POSCAR format:
```
PmSnRuO6
1.0
-2.994 -3.930 0.411
1.599 -1.676 -4.383
7.183 -4.999 4.531
O Sn Pm Ru
12 2 2 2
Direct
0.785 0.215 0.487 O
0.200 0.800 0.855 O
0.215 0.785 0.487 O
0.174 0.826 0.158 O
0.700 0.700 0.355 O
0.285 0.285 0.987 O
0.674 0.674 0.658 O
0.715 0.715 0.987 O
0.826 0.174 0.158 O
0.326 0.326 0.658 O
0.800 0.200 0.855 O
0.300 0.300 0.355 O
0.500 0.500 0.834 Sn
0.000 0.000 0.334 Sn
0.000 0.000 0.668 Pm
0.500 0.500 0.168 Pm
0.000 0.000 0.998 Ru
0.500 0.500 0.498 Ru
```

=====

This record from Alexandria via LeMat-Bulk describes an optimized crystal structure of Ti3SnRu4. The functional is PBE-GGA.

Output
VASP energy	-8.73	eV per atom
density	9.1	Mg/m³
total magnetization	0.0000	μB per atom
formation energy from the elements	-0.630	eV/atom

The structure in POSCAR format:
```
Ti3SnRu4
1.0
-0.533 0.529 -3.038
3.658 -2.210 -1.027
-4.652 -7.474 -0.487
Ti Sn Ru
3 1 4
Direct
0.500 0.000 0.253 Ti
0.500 0.500 0.500 Ti
0.500 0.000 0.747 Ti
0.500 0.500 0.000 Sn
0.000 0.000 0.500 Ru
0.000 0.000 0.000 Ru
0.000 0.500 0.740 Ru
0.000 0.500 0.260 Ru
```

=====

This record from Alexandria via LeMat-Bulk describes an optimized crystal structure of SiTePtI. The functional is PBE-GGA.

Output
relative energy among the computed polymorphs	0.0	kJ/mol of atoms
VASP energy	-4.35	eV per atom
density	7.0	Mg/m³
total magnetization	0.0000	μB per atom
uncorrected formation energy	-309.8	meV/atom

The structure in POSCAR format:
```
SiTePtI
1.0
-8.974 1.112 -0.221
-0.443 -3.177 2.002
0.307 3.480 5.590
Pt Te I Si
2 2 2 2
Direct
0.789 0.500 0.469 Pt
0.789 0.000 0.969 Pt
0.977 0.500 0.138 Te
0.977 0.000 0.638 Te
0.396 0.000 0.300 I
0.396 0.500 0.800 I
0.674 0.000 0.301 Si
0.674 0.500 0.801 Si
```

=====

This record from Alexandria via LeMat-Bulk describes an optimized crystal structure of LiTl2As. The functional is PBE-GGA.

Output
relative energy among the computed polymorphs	19.3	kJ/mol of atoms
VASP energy	-2.86	eV per atom
density	8.3	Mg/m³
total magnetization	0.0000	μB per atom
formation energy from the elements	-0.032	eV/atom

The structure in POSCAR format:
```
LiTl2As
1.0
-0.482 0.862 -3.639
-1.933 -3.199 -0.502
-5.828 3.279 1.548
Tl Li As
2 1 1
Direct
0.000 0.000 0.489 Tl
0.000 0.000 0.011 Tl
0.500 0.500 0.750 Li
0.500 0.500 0.250 As
```

=====

This record from Alexandria via LeMat-Bulk describes an optimized crystal structure of U2Sb2AuSe2. The functional is PBE-GGA.

Output
VASP energy	-6.19	eV per atom
density	7.8	Mg/m³
total magnetization	0.4298	μB per atom
uncorrected formation energy	-324.1	meV/atom

The structure in POSCAR format:
```
U2Sb2AuSe2
1.0
4.610 0.000 0.000
-2.305 3.992 0.000
0.000 0.000 12.436
Se U Au Sb
2 2 1 2
Direct
0.667 0.333 0.581 Se
0.333 0.667 0.419 Se
0.333 0.667 0.659 U
0.667 0.333 0.341 U
0.000 0.000 0.000 Au
0.000 0.000 0.209 Sb
0.000 0.000 0.791 Sb
```